# Mg6Tl12Cd

Crystalline Mg6Tl12Cd at its relaxed geometry (GGA-PBE, the Alexandria database).

Computed properties:
Excess energy over the best structure of this formula in the dataset in eV/f.u.: 0.65
ΔE_f in eV/f.u.: 1.15
Crystal system: trigonal
Space group: R-3, No. 148
Total DFT energy (no corrections) in eV per formula unit: -37.73
N(E_F) in states/eV/f.u.: 8.854

Geometry as POSCAR:
```
Mg6Tl12Cd
1.0
-0.013 3.317 -7.956
-5.596 -6.557 -0.041
-3.291 6.033 5.204
Mg Tl Cd
6 12 1
Cartesian
-5.275 -1.003 -3.208
-3.013 1.173 -4.155
-5.105 -1.285 0.055
-3.624 3.796 0.415
-5.887 1.620 1.362
-3.794 4.077 -2.848
-5.891 2.167 -4.013
-7.326 0.283 -1.325
-6.409 3.709 -0.821
-3.008 0.625 1.220
-1.573 2.510 -1.468
-2.490 -0.916 -1.972
-5.826 -0.374 -6.263
-3.844 -3.922 -1.162
-0.547 3.097 -4.650
-3.073 3.167 3.470
-5.055 6.715 -1.631
-8.353 -0.304 1.857
0.000 0.000 0.000
```

---

# Mg2Tl2Cd15

Crystalline Mg2Tl2Cd15 at its relaxed geometry (GGA-PBE, the Alexandria database).

Computed properties:
ΔE_f in eV/f.u.: 0.32
Crystal system: trigonal
Space group: R-3m, No. 166
Total DFT energy (no corrections) in eV per formula unit: -21.33
N(E_F) in states/eV/f.u.: 6.249

Geometry as POSCAR:
```
Mg2Tl2Cd15
1.0
-5.839 2.422 -4.568
-5.319 0.879 5.636
1.036 7.651 1.104
Mg Tl Cd
2 2 15
Cartesian
-1.071 1.159 0.230
-9.050 9.792 1.942
-3.423 3.704 0.735
-6.698 7.248 1.438
-2.919 1.211 -2.284
0.518 3.825 0.552
-2.659 0.440 2.818
-3.457 2.863 4.309
-5.686 1.970 -1.579
-0.978 6.119 -0.558
-5.471 1.331 2.647
-3.825 3.954 -2.907
-0.825 5.667 2.432
-3.632 5.825 3.611
-6.976 3.282 0.852
-3.885 6.576 -1.353
-6.489 5.127 -1.439
-3.145 7.670 1.320
-6.236 4.376 3.525
```

---

# Mg5Tl2Cd

Crystalline Mg5Tl2Cd at its relaxed geometry (GGA-PBE, the Alexandria database).

Computed properties:
Excess energy over the best structure of this formula in the dataset in eV/f.u.: 0.00
ΔE_f in eV/f.u.: -0.23
Crystal system: tetragonal
Space group: I4/mmm, No. 139
Total DFT energy (no corrections) in eV per formula unit: -13.85
N(E_F) in states/eV/f.u.: 2.878

Geometry as POSCAR:
```
Mg5Tl2Cd
1.0
-4.774 0.614 0.788
-0.813 -4.625 -1.318
3.736 -0.302 7.780
Mg Tl Cd
5 2 1
Cartesian
-2.793 -2.005 -0.265
-1.671 -1.443 6.096
0.309 -4.062 5.043
-0.179 -2.869 1.155
-2.159 -0.249 2.208
-2.326 -3.146 3.454
0.477 -1.165 3.797
0.000 0.000 0.000
```

---

| no. | ρ (kg/m³) |
| --- | --- |
| 1 | 8371 |
| 2 | 7662 |
| 3 | 5667 |